Compound: Ba12Li3Rh5
Source: Alexandria via LeMat-Bulk
Functional: PBE
Structure: relaxed

As for the formation energy from the elements: 0.047 eV per atom. For the total moment, the calculation gives 0.000 μB per atom.

It has space group Ia-3d (No. 230), with a = 19.4931 Å, b = 19.4931 Å, c = 19.4931 Å, α = 90.00°, β = 90.00° and γ = 90.00°. The asymmetric unit holds Ba at (0.0349, 0.0531, 0.6461), Li at (0.0000, 0.2500, 0.1250), Rh at (0.0000, 0.0000, 0.0000) and Rh at (0.0000, 0.2500, 0.3750).

Compound: BaLiRh3
Source: Alexandria via LeMat-Bulk
Functional: PBE
Structure: relaxed

As for the formation energy from the elements: 0.430 eV per atom. For the total moment, the calculation gives 0.000 μB per atom.

It has space group Pm-3m (No. 221), with a = 4.5277 Å, b = 4.5277 Å, c = 4.5277 Å, α = 90.00°, β = 90.00° and γ = 90.00°. The asymmetric unit holds Ba at (0.0000, 0.0000, 0.0000), Li at (0.5000, 0.5000, 0.5000) and Rh at (0.0000, 0.5000, 0.5000).

Compound: BaLi2Rh
Source: Alexandria via LeMat-Bulk
Functional: PBE
Structure: relaxed

As for the formation energy from the elements: 0.040 eV per atom. For the total moment, the calculation gives 0.000 μB per atom.

It has space group I4/mmm (No. 139), with a = 4.4270 Å, b = 4.4270 Å, c = 8.9018 Å, α = 90.00°, β = 90.00° and γ = 90.00°. The asymmetric unit holds Ba at (0.0000, 0.0000, 0.0000), Li at (0.0000, 0.5000, 0.2500) and Rh at (0.0000, 0.0000, 0.5000).

Compound: BaLiRh2
Source: Alexandria via LeMat-Bulk
Functional: PBE
Structure: relaxed

As for the formation energy from the elements: 0.137 eV per atom. For the total moment, the calculation gives 0.000 μB per atom.

It has space group P2/m (No. 10), with a = 3.1564 Å, b = 4.3940 Å, c = 5.9177 Å, α = 90.00°, β = 102.05° and γ = 90.00°. The asymmetric unit holds Ba at (0.0000, 0.0000, 0.0000), Li at (0.5000, 0.0000, 0.5000) and Rh at (0.3175, 0.5000, 0.6816).

Compound: BaLi2Rh
Source: Alexandria via LeMat-Bulk
Functional: PBE
Structure: relaxed

As for the formation energy from the elements: 0.118 eV per atom. For the total moment, the calculation gives 0.000 μB per atom.

It has space group P4/mmm (No. 123), with a = 4.3402 Å, b = 4.3402 Å, c = 4.8394 Å, α = 90.00°, β = 90.00° and γ = 90.00°. The asymmetric unit holds Ba at (0.0000, 0.0000, 0.0000), Li at (0.0000, 0.5000, 0.5000) and Rh at (0.5000, 0.5000, 0.0000).

Compound: BaLi4Rh
Source: Alexandria via LeMat-Bulk
Functional: PBE
Structure: relaxed

As for the formation energy from the elements: 0.107 eV per atom. For the total moment, the calculation gives 0.000 μB per atom.

It has space group F-43m (No. 216), with a = 7.8932 Å, b = 7.8932 Å, c = 7.8932 Å, α = 90.00°, β = 90.00° and γ = 90.00°. The asymmetric unit holds Ba at (0.0000, 0.0000, 0.0000), Li at (0.1206, 0.1206, 0.6206) and Rh at (0.2500, 0.2500, 0.2500).

Mass density for every record listed, in sequence, given in g/cm³: 3.9 8.1 4.8 7.2 4.6 3.6.